Entry 1:
Below is an optimized crystal structure of MgZr, with properties calculated at the PBE level.

Geometry as POSCAR:
```
MgZr
1.0
-2.8028 1.2542 0.3118
1.1597 -1.7655 2.2503
4.4631 8.8242 4.6230
Mg Zr
2 2
direct
0.0000 0.0000 0.0000
0.0000 0.0000 0.5000
0.3333 0.6667 0.2500
0.6667 0.3333 0.7500
```

Properties
The crystal system is hexagonal. The symmetry is P6_3/mmc. As for the total magnetization: 0.00 μB/f.u. For the total energy, the calculation gives -20.1 eV for the cell shown. Its formation enthalpy at 0 K is 0.0580 eV per atom.

Entry 2:
Below is an optimized crystal structure of MgZr3, with properties calculated at the PBE level.

Geometry as POSCAR:
```
MgZr3
1.0
3.2077 0.0000 0.0000
0.0000 4.2777 0.0000
0.0000 0.0000 6.6311
Mg Zr
1 3
direct
0.5000 0.5000 0.2500
0.0000 0.0000 0.9948
0.0000 0.0000 0.5052
0.5000 0.5000 0.7500
```

Properties
The crystal system is orthorhombic. The symmetry is Pmmm. As for the total magnetization: 0.00 μB/f.u. For the total energy, the calculation gives -27.1 eV for the cell shown. Its formation enthalpy at 0 K is 0.0245 eV per atom.

Entry 3:
Below is an optimized crystal structure of MgZr2, with properties calculated at the PBE level.

Geometry as POSCAR:
```
MgZr2
1.0
-2.7175 5.9595 -1.2659
-2.1377 0.3653 6.3087
5.7051 2.9755 1.7608
Mg Zr
4 8
direct
0.0000 0.0000 0.0000
0.0000 0.5000 0.5000
0.5000 0.0000 0.5000
0.5000 0.5000 0.0000
0.1436 0.6436 0.8564
0.1436 0.8564 0.3564
0.3564 0.1436 0.8564
0.3564 0.3564 0.3564
0.6436 0.6436 0.6436
0.6436 0.8564 0.1436
0.8564 0.1436 0.6436
0.8564 0.3564 0.1436
```

Properties
The crystal system is cubic. The symmetry is Pa-3. As for the total magnetization: 0.02 μB/f.u. For the total energy, the calculation gives -64.1 eV for the cell shown. Its formation enthalpy at 0 K is 0.8854 eV per atom.